Arrangement a

VASP calculation (PBE) on crystalline HoPaIr2 at its relaxed geometry.

a = 5.562 Å, b = 5.733 Å, c = 11.100 Å
α = 90.60°, β = 90.00°, γ = 90.00°
Fractional coordinates of all 16 atoms:
Ho (0.250, 0.048, 0.392)
Ho (0.750, 0.952, 0.608)
Ho (0.250, 0.452, 0.108)
Ho (0.750, 0.548, 0.892)
Pa (0.250, 0.554, 0.611)
Pa (0.750, 0.446, 0.389)
Pa (0.250, 0.946, 0.889)
Pa (0.750, 0.054, 0.111)
Ir (0.750, 0.046, 0.871)
Ir (0.250, 0.954, 0.129)
Ir (0.750, 0.454, 0.629)
Ir (0.250, 0.546, 0.371)
Ir (0.750, 0.552, 0.156)
Ir (0.250, 0.448, 0.844)
Ir (0.750, 0.948, 0.344)
Ir (0.250, 0.052, 0.656)

## Properties
magnetic moment = 0.000 μB per atom

---

Arrangement b

VASP calculation (PBE) on crystalline HoPaIr2 at its relaxed geometry.

a = 3.931 Å, b = 3.931 Å, c = 7.114 Å
α = 73.96°, β = 73.96°, γ = 60.00°
Fractional coordinates of all 4 atoms:
Pa (0.000, 0.000, 0.000)
Ho (0.500, 0.500, 0.500)
Ir (0.745, 0.745, 0.764)
Ir (0.255, 0.255, 0.236)

## Properties
magnetic moment = 0.000 μB per atom

---

Arrangement c

VASP calculation (PBE) on crystalline HoPaIr2 at its relaxed geometry.

a = 5.562 Å, b = 5.582 Å, c = 11.259 Å
α = 90.00°, β = 101.58°, γ = 90.00°
Fractional coordinates of all 16 atoms:
Ho (0.950, 0.636, 0.645)
Ho (0.050, 0.364, 0.355)
Ho (0.550, 0.636, 0.855)
Ho (0.450, 0.364, 0.145)
Pa (0.547, 0.857, 0.362)
Pa (0.453, 0.143, 0.638)
Pa (0.953, 0.857, 0.138)
Pa (0.047, 0.143, 0.862)
Ir (0.924, 0.346, 0.087)
Ir (0.076, 0.654, 0.913)
Ir (0.576, 0.346, 0.413)
Ir (0.424, 0.654, 0.587)
Ir (0.559, 0.134, 0.896)
Ir (0.441, 0.866, 0.104)
Ir (0.941, 0.134, 0.604)
Ir (0.059, 0.866, 0.396)

## Properties
magnetic moment = 0.000 μB per atom

---

Most stable to least stable, the ends of the list are arrangement c and arrangement a.